# 1
Material: La4Pr5Nd2
Method: DFT, GGA-PBE
State: relaxed

Results
polymorph energy (0 for the lowest one) = 0 kJ/mol of formula units
formation enthalpy at 0 K = 0.0530 eV/atom
theoretical density = 6.365 g/cm³

a = 34.3498 Å, b = 34.3498 Å, c = 34.3498 Å
α = 6.16°, β = 6.16°, γ = 6.16°
Element x y z (fractional)
La 0.0879 0.0879 0.0879
La 0.1826 0.1826 0.1826
La 0.8174 0.8174 0.8174
La 0.9121 0.9121 0.9121
Pr 0.0000 0.0000 0.0000
Pr 0.1218 0.1218 0.1218
Pr 0.2746 0.2746 0.2746
Pr 0.7254 0.7254 0.7254
Pr 0.8782 0.8782 0.8782
Nd 0.3626 0.3626 0.3626
Nd 0.6374 0.6374 0.6374


# 2
Material: CeHoEr3Tm
Method: DFT, GGA-PBE
State: relaxed

Results
formation enthalpy at 0 K = 0.0552 eV/atom
theoretical density = 8.836 g/cm³

a = 7.8467 Å, b = 7.8467 Å, c = 9.9140 Å
α = 90.00°, β = 90.00°, γ = 143.07°
Element x y z (fractional)
Ce 0.9999 0.0001 0.2500
Ce 0.0001 0.9999 0.7500
Ho 0.5000 0.5000 0.0000
Ho 0.5000 0.5000 0.5000
Er 0.1650 0.8350 0.0000
Er 0.1650 0.8350 0.5000
Er 0.3326 0.6674 0.7500
Er 0.6674 0.3326 0.2500
Er 0.8350 0.1650 0.0000
Er 0.8350 0.1650 0.5000
Tm 0.3327 0.6673 0.2500
Tm 0.6673 0.3327 0.7500


# 3
Material: LaDy5TmSc2
Method: DFT, GGA-PBE
State: relaxed

Results
formation enthalpy at 0 K = 0.1719 eV/atom
theoretical density = 7.146 g/cm³

a = 11.1837 Å, b = 11.1837 Å, c = 9.2810 Å
α = 90.00°, β = 90.00°, γ = 151.02°
Element x y z (fractional)
La 0.1840 0.8160 0.5000
La 0.8160 0.1840 0.0000
Dy 0.0072 0.9928 0.4997
Dy 0.2657 0.7343 0.8153
Dy 0.3085 0.6915 0.2026
Dy 0.3926 0.6074 0.5315
Dy 0.4682 0.5318 0.2324
Dy 0.5318 0.4682 0.7324
Dy 0.6074 0.3926 0.0315
Dy 0.6915 0.3085 0.7026
Dy 0.7343 0.2657 0.3153
Dy 0.9928 0.0072 0.9997
Tm 0.4034 0.5966 0.9027
Tm 0.5966 0.4034 0.4027
Sc 0.1135 0.8865 0.8075
Sc 0.1403 0.8597 0.1766
Sc 0.8597 0.1403 0.6766
Sc 0.8865 0.1135 0.3075


# 4
Material: ScTa2ReAg
Method: DFT, GGA-PBE
State: relaxed

Results
polymorph energy (0 for the lowest one) = 0 kJ/mol of formula units
formation enthalpy at 0 K = 1.9602 eV/atom
theoretical density = 10.417 g/cm³

a = 4.8859 Å, b = 4.8859 Å, c = 4.6807 Å
α = 90.00°, β = 90.00°, γ = 90.00°
Element x y z (fractional)
Sc 0.0000 0.0000 0.0000
Ta 0.0000 0.5000 0.5000
Ta 0.5000 0.0000 0.5000
Re 0.5000 0.5000 0.0000
Ag 0.0000 0.0000 0.5000


# 5
Material: BaNaB3
Method: DFT, GGA-PBE
State: relaxed

Results
polymorph energy (0 for the lowest one) = 0 kJ/mol of formula units
formation enthalpy at 0 K = 2.0011 eV/atom
theoretical density = 3.036 g/cm³

a = 4.7240 Å, b = 4.7240 Å, c = 4.7240 Å
α = 90.00°, β = 90.00°, γ = 90.00°
Element x y z (fractional)
Ba 0.0000 0.0000 0.0000
Na 0.5000 0.5000 0.5000
B 0.0000 0.5000 0.5000
B 0.5000 0.0000 0.5000
B 0.5000 0.5000 0.0000


# 6
Material: Li2ZrUN4
Method: DFT, GGA-PBE
State: relaxed

Results
uncorrected formation energy = -113.0 kJ per mole of atoms
theoretical density = 6.666 g/cm³

a = 5.3672 Å, b = 3.4203 Å, c = 5.7190 Å
α = 90.00°, β = 108.72°, γ = 90.00°
Element x y z (fractional)
Li 0.0000 0.0000 0.0000
Li 0.0000 0.5000 0.5000
Zr 0.5000 0.0000 0.5000
U 0.5000 0.5000 0.0000
N 0.2881 0.0000 0.7754
N 0.2884 0.5000 0.2584
N 0.7119 0.0000 0.2246
N 0.7116 0.5000 0.7416


# 7
Material: CdFe2Re
Method: DFT, GGA-PBE
State: relaxed

Results
formation enthalpy at 0 K = 0.3956 eV/atom
theoretical density = 11.713 g/cm³

a = 2.6546 Å, b = 4.1179 Å, c = 5.4433 Å
α = 90.00°, β = 102.16°, γ = 90.00°
Element x y z (fractional)
Cd 0.0000 0.0000 0.0000
Fe 0.5512 0.5000 0.2524
Fe 0.9184 0.0000 0.4908
Re 0.3983 0.5000 0.6862


# 8
Material: AcSm2Ge
Method: DFT, GGA-PBE
State: relaxed

Results
polymorph energy (0 for the lowest one) = 70 kJ/mol of formula units
formation enthalpy at 0 K = -0.1231 eV/atom
theoretical density = 6.538 g/cm³

a = 4.0166 Å, b = 4.0166 Å, c = 32.7435 Å
α = 90.00°, β = 90.00°, γ = 120.00°
Element x y z (fractional)
Ac 0.0000 0.0000 0.0000
Ac 0.3333 0.6667 0.6667
Ac 0.6667 0.3333 0.3333
Sm 0.0000 0.0000 0.1151
Sm 0.0000 0.0000 0.8849
Sm 0.3333 0.6667 0.5516
Sm 0.3333 0.6667 0.7817
Sm 0.6667 0.3333 0.2183
Sm 0.6667 0.3333 0.4484
Ge 0.0000 0.0000 0.5000
Ge 0.3333 0.6667 0.1667
Ge 0.6667 0.3333 0.8333


# 9
Material: CdGePd2
Method: DFT, GGA-PBE
State: relaxed

Results
formation enthalpy at 0 K = -0.3093 eV/atom
theoretical density = 9.028 g/cm³

a = 4.1484 Å, b = 4.1484 Å, c = 14.7309 Å
α = 90.00°, β = 90.00°, γ = 120.00°
Element x y z (fractional)
Cd 0.0000 0.0000 0.0000
Cd 0.3333 0.6667 0.6667
Cd 0.6667 0.3333 0.3333
Ge 0.0000 0.0000 0.1857
Ge 0.3333 0.6667 0.8523
Ge 0.6667 0.3333 0.5190
Pd 0.0000 0.0000 0.5675
Pd 0.0000 0.0000 0.7821
Pd 0.3333 0.6667 0.2342
Pd 0.3333 0.6667 0.4488
Pd 0.6667 0.3333 0.1154
Pd 0.6667 0.3333 0.9008


# 10
Material: In4SbIr
Method: DFT, GGA-PBE
State: relaxed

Results
uncorrected formation energy = 64.9 kJ per mole of atoms
theoretical density = 8.757 g/cm³

a = 5.9189 Å, b = 5.9189 Å, c = 5.9189 Å
α = 60.00°, β = 60.00°, γ = 60.00°
Element x y z (fractional)
In 0.1245 0.1245 0.1245
In 0.1245 0.1245 0.6265
In 0.1245 0.6265 0.1245
In 0.6265 0.1245 0.1245
Sb 0.5000 0.5000 0.5000
Ir 0.7500 0.7500 0.7500


# 11
Material: KAg2Mo
Method: DFT, GGA-PBE
State: relaxed

Results
polymorph energy (0 for the lowest one) = 0 kJ/mol of formula units
formation enthalpy at 0 K = 0.6138 eV/atom
theoretical density = 7.107 g/cm³

a = 2.8988 Å, b = 2.8988 Å, c = 9.7538 Å
α = 90.00°, β = 90.00°, γ = 90.00°
Element x y z (fractional)
K 0.0000 0.0000 0.0000
Ag 0.5000 0.5000 0.2891
Ag 0.5000 0.5000 0.7109
Mo 0.0000 0.0000 0.5000


# 12
Material: PrAgAu
Method: DFT, GGA-PBE
State: relaxed

Results
polymorph energy (0 for the lowest one) = 42 kJ/mol of formula units
formation enthalpy at 0 K = -0.4189 eV/atom
theoretical density = 9.041 g/cm³

a = 6.8927 Å, b = 6.8927 Å, c = 6.8927 Å
α = 90.00°, β = 90.00°, γ = 90.00°
Element x y z (fractional)
Pr 0.0000 0.0000 0.0000
Pr 0.0000 0.5000 0.5000
Pr 0.5000 0.0000 0.5000
Pr 0.5000 0.5000 0.0000
Ag 0.0000 0.0000 0.5000
Ag 0.0000 0.5000 0.0000
Ag 0.5000 0.0000 0.0000
Ag 0.5000 0.5000 0.5000
Au 0.2500 0.2500 0.7500
Au 0.2500 0.7500 0.2500
Au 0.7500 0.2500 0.2500
Au 0.7500 0.7500 0.7500


# 13
Material: TlSe2Br
Method: DFT, GGA-PBE
State: relaxed

Results
polymorph energy (0 for the lowest one) = 58 kJ/mol of formula units
uncorrected formation energy = -12.1 kJ per mole of atoms
theoretical density = 5.840 g/cm³

a = 3.7824 Å, b = 5.9157 Å, c = 5.6197 Å
α = 90.00°, β = 90.40°, γ = 90.00°
Element x y z (fractional)
Tl 0.0000 0.0000 0.0000
Se 0.4961 0.5000 0.8003
Se 0.5039 0.5000 0.1997
Br 0.5000 0.0000 0.5000


# 14
Material: K2AcGe2O6
Method: DFT, GGA-PBE
State: relaxed

Results
uncorrected formation energy = -193.6 kJ per mole of atoms
theoretical density = 4.358 g/cm³

a = 6.2115 Å, b = 6.2115 Å, c = 7.2709 Å
α = 117.08°, β = 117.08°, γ = 60.95°
Element x y z (fractional)
K 0.2048 0.2048 0.1654
K 0.7952 0.7952 0.8346
Ac 0.0000 0.0000 0.5000
Ge 0.4583 0.4583 0.7940
Ge 0.5417 0.5417 0.2060
O 0.2232 0.6901 0.2195
O 0.2666 0.2666 0.6393
O 0.3099 0.7768 0.7805
O 0.6901 0.2232 0.2195
O 0.7334 0.7334 0.3607
O 0.7768 0.3099 0.7805


# 15
Material: Be5Nb3H12
Method: DFT, GGA-PBE
State: relaxed

Results
total DFT energy (no corrections) = -4.33 eV per atom
theoretical density = 4.070 g/cm³

a = 8.9299 Å, b = 8.9299 Å, c = 8.9299 Å
α = 109.47°, β = 109.47°, γ = 109.47°
Element x y z (fractional)
Be 0.0000 0.0000 0.0000
Be 0.0000 0.0000 0.5000
Be 0.0000 0.5000 0.0000
Be 0.0000 0.5000 0.5000
Be 0.1250 0.7500 0.8750
Be 0.1250 0.8750 0.2500
Be 0.2500 0.1250 0.8750
Be 0.2500 0.6250 0.3750
Be 0.3750 0.2500 0.6250
Be 0.3750 0.6250 0.7500
Be 0.5000 0.0000 0.0000
Be 0.5000 0.0000 0.5000
Be 0.5000 0.5000 0.0000
Be 0.5000 0.5000 0.5000
Be 0.6250 0.3750 0.2500
Be 0.6250 0.7500 0.3750
Be 0.7500 0.3750 0.6250
Be 0.7500 0.8750 0.1250
Be 0.8750 0.1250 0.7500
Be 0.8750 0.2500 0.1250
Nb 0.1250 0.2500 0.3750
Nb 0.1250 0.3750 0.7500
Nb 0.2500 0.3750 0.1250
Nb 0.2500 0.8750 0.6250
Nb 0.3750 0.1250 0.2500
Nb 0.3750 0.7500 0.1250
Nb 0.6250 0.2500 0.8750
Nb 0.6250 0.8750 0.7500
Nb 0.7500 0.1250 0.3750
Nb 0.7500 0.6250 0.8750
Nb 0.8750 0.6250 0.2500
Nb 0.8750 0.7500 0.6250
H 0.0315 0.2100 0.1205
H 0.0315 0.3215 0.9111
H 0.0889 0.6205 0.4104
H 0.0889 0.9685 0.6785
H 0.0896 0.7100 0.6785
H 0.0896 0.8795 0.4111
H 0.1205 0.0315 0.2100
H 0.1205 0.5889 0.9104
H 0.1785 0.2100 0.5896
H 0.1785 0.4685 0.5889
H 0.2100 0.1205 0.0315
H 0.2100 0.5896 0.1785
H 0.2900 0.3215 0.9104
H 0.2900 0.4685 0.3795
H 0.3215 0.9104 0.2900
H 0.3215 0.9111 0.0315
H 0.3795 0.2900 0.4685
H 0.3795 0.5896 0.9111
H 0.4104 0.0889 0.6205
H 0.4104 0.8215 0.7900
H 0.4111 0.0896 0.8795
H 0.4111 0.8215 0.5315
H 0.4685 0.3795 0.2900
H 0.4685 0.5889 0.1785
H 0.5315 0.4111 0.8215
H 0.5315 0.6205 0.7100
H 0.5889 0.1785 0.4685
H 0.5889 0.9104 0.1205
H 0.5896 0.1785 0.2100
H 0.5896 0.9111 0.3795
H 0.6205 0.4104 0.0889
H 0.6205 0.7100 0.5315
H 0.6785 0.0889 0.9685
H 0.6785 0.0896 0.7100
H 0.7100 0.5315 0.6205
H 0.7100 0.6785 0.0896
H 0.7900 0.4104 0.8215
H 0.7900 0.8795 0.9685
H 0.8215 0.5315 0.4111
H 0.8215 0.7900 0.4104
H 0.8795 0.4111 0.0896
H 0.8795 0.9685 0.7900
H 0.9104 0.1205 0.5889
H 0.9104 0.2900 0.3215
H 0.9111 0.0315 0.3215
H 0.9111 0.3795 0.5896
H 0.9685 0.6785 0.0889
H 0.9685 0.7900 0.8795


# 16
Material: TbPm6Nd3Er2
Method: DFT, GGA-PBE
State: relaxed

Results
formation enthalpy at 0 K = 0.0160 eV/atom
theoretical density = 7.370 g/cm³

a = 6.2898 Å, b = 6.2898 Å, c = 11.9980 Å
α = 95.01°, β = 95.01°, γ = 120.01°
Element x y z (fractional)
Tb 0.0000 0.0000 0.0000
Pm 0.0822 0.4160 0.2455
Pm 0.2515 0.2515 0.7545
Pm 0.4160 0.0822 0.2455
Pm 0.5840 0.9178 0.7545
Pm 0.7485 0.7485 0.2455
Pm 0.9178 0.5840 0.7545
Nd 0.1668 0.8332 0.5000
Nd 0.5000 0.5000 0.5000
Nd 0.8332 0.1668 0.5000
Er 0.3333 0.6667 0.0000
Er 0.6667 0.3333 0.0000


# 17
Material: LuPaAlTc
Method: DFT, GGA-PBE
State: relaxed

Results
formation enthalpy at 0 K = -0.1521 eV/atom
theoretical density = 10.522 g/cm³

a = 6.9465 Å, b = 6.9465 Å, c = 6.9465 Å
α = 90.00°, β = 90.00°, γ = 90.00°
Element x y z (fractional)
Lu 0.0000 0.0000 0.0000
Lu 0.0000 0.5000 0.5000
Lu 0.5000 0.0000 0.5000
Lu 0.5000 0.5000 0.0000
Pa 0.0000 0.0000 0.5000
Pa 0.0000 0.5000 0.0000
Pa 0.5000 0.0000 0.0000
Pa 0.5000 0.5000 0.5000
Al 0.2500 0.2500 0.2500
Al 0.2500 0.7500 0.7500
Al 0.7500 0.2500 0.7500
Al 0.7500 0.7500 0.2500
Tc 0.2500 0.2500 0.7500
Tc 0.2500 0.7500 0.2500
Tc 0.7500 0.2500 0.2500
Tc 0.7500 0.7500 0.7500


# 18
Material: U3Zn5O12
Method: DFT, GGA-PBE
State: relaxed

Results
uncorrected formation energy = -212.1 kJ per mole of atoms
theoretical density = 8.304 g/cm³

a = 10.8612 Å, b = 10.8612 Å, c = 10.8612 Å
α = 109.47°, β = 109.47°, γ = 109.47°
Element x y z (fractional)
U 0.1250 0.2500 0.3750
U 0.1250 0.3750 0.7500
U 0.2500 0.3750 0.1250
U 0.2500 0.8750 0.6250
U 0.3750 0.1250 0.2500
U 0.3750 0.7500 0.1250
U 0.6250 0.2500 0.8750
U 0.6250 0.8750 0.7500
U 0.7500 0.1250 0.3750
U 0.7500 0.6250 0.8750
U 0.8750 0.6250 0.2500
U 0.8750 0.7500 0.6250
Zn 0.0000 0.0000 0.0000
Zn 0.0000 0.0000 0.5000
Zn 0.0000 0.5000 0.0000
Zn 0.0000 0.5000 0.5000
Zn 0.1250 0.7500 0.8750
Zn 0.1250 0.8750 0.2500
Zn 0.2500 0.1250 0.8750
Zn 0.2500 0.6250 0.3750
Zn 0.3750 0.2500 0.6250
Zn 0.3750 0.6250 0.7500
Zn 0.5000 0.0000 0.0000
Zn 0.5000 0.0000 0.5000
Zn 0.5000 0.5000 0.0000
Zn 0.5000 0.5000 0.5000
Zn 0.6250 0.3750 0.2500
Zn 0.6250 0.7500 0.3750
Zn 0.7500 0.3750 0.6250
Zn 0.7500 0.8750 0.1250
Zn 0.8750 0.1250 0.7500
Zn 0.8750 0.2500 0.1250
O 0.0449 0.2200 0.1336
O 0.0449 0.3249 0.9113
O 0.0863 0.7200 0.6751
O 0.0863 0.8664 0.4113
O 0.0887 0.6336 0.4137
O 0.0887 0.9551 0.6751
O 0.1336 0.0449 0.2200
O 0.1336 0.5887 0.9137
O 0.1751 0.2200 0.5863
O 0.1751 0.4551 0.5887
O 0.2200 0.1336 0.0449
O 0.2200 0.5863 0.1751
O 0.2800 0.3249 0.9137
O 0.2800 0.4551 0.3664
O 0.3249 0.9113 0.0449
O 0.3249 0.9137 0.2800
O 0.3664 0.2800 0.4551
O 0.3664 0.5863 0.9113
O 0.4113 0.0863 0.8664
O 0.4113 0.8249 0.5449
O 0.4137 0.0887 0.6336
O 0.4137 0.8249 0.7800
O 0.4551 0.3664 0.2800
O 0.4551 0.5887 0.1751
O 0.5449 0.4113 0.8249
O 0.5449 0.6336 0.7200
O 0.5863 0.1751 0.2200
O 0.5863 0.9113 0.3664
O 0.5887 0.1751 0.4551
O 0.5887 0.9137 0.1336
O 0.6336 0.4137 0.0887
O 0.6336 0.7200 0.5449
O 0.6751 0.0863 0.7200
O 0.6751 0.0887 0.9551
O 0.7200 0.5449 0.6336
O 0.7200 0.6751 0.0863
O 0.7800 0.4137 0.8249
O 0.7800 0.8664 0.9551
O 0.8249 0.5449 0.4113
O 0.8249 0.7800 0.4137
O 0.8664 0.4113 0.0863
O 0.8664 0.9551 0.7800
O 0.9113 0.0449 0.3249
O 0.9113 0.3664 0.5863
O 0.9137 0.1336 0.5887
O 0.9137 0.2800 0.3249
O 0.9551 0.6751 0.0887
O 0.9551 0.7800 0.8664